VASP calculation (meta-GGA SCAN) on KLi3Hg at its PBEsol-relaxed geometry.

Calculated values
Total magnetic moment: 0.0 μB/f.u.
SG: Pm-3m, No. 221
E_form: -156 meV/atom
Final energy: -0.6206 Ha/atom

Cell lengths 5.2699, 5.2699, 5.2699 Å; angles 90.00, 90.00, 90.00 degrees
Atoms (fractional coordinates):
K  0.0000  0.0000  0.0000
Li  0.0000  0.5000  0.5000
Li  0.5000  0.0000  0.5000
Li  0.5000  0.5000  0.0000
Hg  0.5000  0.5000  0.5000